A plane-wave DFT calculation with GGA-PBE was carried out for a relaxed LaTaAsO crystal.

Lattice parameters (Å, degrees): 4.6828 6.3420 6.0524 90.00 90.00 90.00
Closest atoms and distances in Å follow each position.
Fractional coordinates of all 8 atoms:
La 0.0000 0.2387 0.0000  2 O 2.49
La 0.0000 0.7613 0.5000  2 O 2.49
Ta 0.5000 0.3999 0.5744  2 O 1.99-2.05
Ta 0.5000 0.6001 0.0744  2 O 1.99-2.05
As 0.0000 0.2480 0.4945  2 Ta 2.58
As 0.0000 0.7520 0.9945  2 Ta 2.58
O 0.5000 0.3256 0.8947  2 Ta 1.99-2.05
O 0.5000 0.6744 0.3947  2 Ta 1.99-2.05

Results
- uncorrected energy (eV/atom) = -7.99
- V (Å³ per atom) = 22.468
- space group = No. 26
- theoretical density (Mg/m³) = 7.59